1.
This record from Alexandria via LeMat-Bulk describes crystalline ZnCuSn2 at its relaxed geometry. The functional is PBE.

Values from the calculation:
* ΔE_f: 0.09 eV/atom
* final energy: -3.25 eV/atom

Lattice parameters (Å, degrees): 4.2566 4.2566 16.7568 90.00 90.00 120.00
Space group R3m (No. 160, hexagonal axes)
Inequivalent atoms, fractional coordinates:
Zn 0.0000 0.0000 0.0000 [3 per cell]
Cu 0.0000 0.0000 0.8413 [3 per cell]
Sn 0.0000 0.0000 0.2386 [3 per cell]
Sn 0.0000 0.0000 0.4294 [3 per cell]

2.
This record from Alexandria via LeMat-Bulk describes crystalline Zn2Cu2Sn at its relaxed geometry. The functional is PBE.

Values from the calculation:
* ΔE_f: 0.08 eV/atom
* final energy: -2.87 eV/atom

Lattice parameters (Å, degrees): 7.4460 7.4460 2.8933 90.00 90.00 90.00
Space group P4/mbm (No. 127)
Inequivalent atoms, fractional coordinates:
Zn 0.1237 0.3763 0.0000 [4 per cell]
Cu 0.1720 0.6720 0.5000 [4 per cell]
Sn 0.0000 0.0000 0.0000 [2 per cell]

3.
This record from Alexandria via LeMat-Bulk describes crystalline ZnCuSn2 at its relaxed geometry. The functional is PBE.

Values from the calculation:
* ΔE_f: 0.15 eV/atom
* final energy: -3.20 eV/atom

Lattice parameters (Å, degrees): 3.2293 3.2293 7.8582 90.00 90.00 90.00
Space group P4/mmm (No. 123)
Inequivalent atoms, fractional coordinates:
Zn 0.0000 0.0000 0.0000 [1 per cell]
Cu 0.0000 0.0000 0.5000 [1 per cell]
Sn 0.5000 0.5000 0.2733 [2 per cell]

4.
This record from Alexandria via LeMat-Bulk describes crystalline ZnCu5Sn at its relaxed geometry. The functional is PBE.

Values from the calculation:
* ΔE_f: 0.06 eV/atom
* final energy: -3.62 eV/atom

Lattice parameters (Å, degrees): 5.1309 7.9913 5.0506 90.00 90.00 90.00
Space group Cmmm (No. 65)
Inequivalent atoms, fractional coordinates:
Zn 0.0000 0.0000 0.0000 [2 per cell]
Cu 0.0000 0.0000 0.5000 [2 per cell]
Cu 0.2500 0.2500 0.2418 [8 per cell]
Sn 0.0000 0.5000 0.5000 [2 per cell]

5.
This record from Alexandria via LeMat-Bulk describes crystalline Zn8Cu4Sn at its relaxed geometry. The functional is PBE.

Values from the calculation:
* ΔE_f: -0.03 eV/atom
* final energy: -2.38 eV/atom

Lattice parameters (Å, degrees): 8.7959 8.7959 5.0722 90.00 90.00 90.00
Space group I4/mmm (No. 139)
Inequivalent atoms, fractional coordinates:
Zn 0.0000 0.2241 0.0000 [8 per cell]
Zn 0.0000 0.3474 0.5000 [8 per cell]
Cu 0.2500 0.2500 0.2500 [8 per cell]
Sn 0.0000 0.0000 0.5000 [2 per cell]

6.
This record from Alexandria via LeMat-Bulk describes crystalline ZnCu2Sn at its relaxed geometry. The functional is PBE.

Values from the calculation:
* ΔE_f: 0.21 eV/atom
* final energy: -3.15 eV/atom

Lattice parameters (Å, degrees): 4.0279 4.0279 17.4078 90.00 90.00 90.00
Space group I-42d (No. 122)
Inequivalent atoms, fractional coordinates:
Zn 0.0000 0.0000 0.0000 [4 per cell]
Cu 0.2149 0.2500 0.1250 [8 per cell]
Sn 0.0000 0.0000 0.5000 [4 per cell]

Q: Which value of final energy does entry 5 give?
A: -2.38 eV/atom

Q: Which formula does entry 4 have?
A: ZnCu5Sn